Compound: Sn2SeI
Source: Alexandria via LeMat-Bulk
Functional: PBE
Structure: relaxed

Lattice parameters (Å, degrees): 9.5293 9.5293 7.5767 106.58 106.58 116.33
Closest atoms and distances in Å follow each position.
Atoms (fractional coordinates):
Sn 0.0404 0.4168 0.2970  3 Se 2.92-3.02
Sn 0.1686 0.3076 0.7057  2 Se 2.95-3.09, 2 I 3.23-3.26
Sn 0.3076 0.1686 0.2057  2 Se 2.95-3.09, 2 I 3.23-3.26
Sn 0.4168 0.0404 0.7970  3 Se 2.92-3.02
Sn 0.5832 0.9596 0.2030  3 Se 2.92-3.02
Sn 0.6924 0.8314 0.7943  2 Se 2.95-3.09, 2 I 3.23-3.26
Sn 0.8314 0.6924 0.2943  2 Se 2.95-3.09, 2 I 3.23-3.26
Sn 0.9596 0.5832 0.7030  3 Se 2.92-3.02
Se 0.0650 0.9350 0.7500  4 Sn 2.92-2.95
Se 0.3157 0.6843 0.7500  6 Sn 2.96-3.09
Se 0.6843 0.3157 0.2500  6 Sn 2.96-3.09
Se 0.9350 0.0650 0.2500  4 Sn 2.92-2.95
I 0.1882 0.8118 0.2500  6 Sn 3.23-3.55
I 0.4383 0.5617 0.2500  6 Sn 3.26-3.58
I 0.5617 0.4383 0.7500  6 Sn 3.26-3.58
I 0.8118 0.1882 0.7500  6 Sn 3.23-3.55

Fermi-level density of states: 0.287 states/eV/atom
Raw formation energy: -5.52 kcal/mol of atoms
Crystal system: monoclinic
Space-group type: C2/c
E above lowest polymorph: 0.3 kJ per mole of atoms

Compound: Sn2Se2I
Source: Alexandria via LeMat-Bulk
Functional: PBE
Structure: relaxed

Lattice parameters (Å, degrees): 7.8722 7.8722 7.8722 145.74 145.74 49.23
Closest atoms and distances in Å follow each position.
Atoms (fractional coordinates):
Sn 0.1257 0.1257 0.0000  4 Se 2.92
Sn 0.8743 0.8743 0.0000  4 Se 2.92
Se 0.2500 0.7500 0.5000  4 Sn 2.92
Se 0.7500 0.2500 0.5000  4 Sn 2.92
I 0.5000 0.5000 0.0000  8 Sn 3.74

Fermi-level density of states: 0.483 states/eV/atom
Raw formation energy: -6.34 kcal/mol of atoms
Crystal system: tetragonal
Space-group type: I4/mmm
E above lowest polymorph: 11.1 kJ per mole of atoms

Compound: Sr2SnSe2I2
Source: Alexandria via LeMat-Bulk
Functional: PBE
Structure: relaxed

Lattice parameters (Å, degrees): 9.2905 9.2905 9.2905 145.02 145.02 50.31
Closest atoms and distances in Å follow each position.
Atoms (fractional coordinates):
Sr 0.1109 0.1109 0.0000  1 I 3.28, 4 Se 3.36
Sr 0.8891 0.8891 0.0000  1 I 3.28, 4 Se 3.36
Sn 0.5000 0.5000 0.0000  4 Se 2.79
Se 0.0000 0.5000 0.5000  2 Sn 2.79
Se 0.5000 0.0000 0.5000  2 Sn 2.79
I 0.3057 0.3057 0.0000  1 Sn 3.27, 1 Sr 3.28
I 0.6943 0.6943 0.0000  1 Sn 3.27, 1 Sr 3.28

Fermi-level density of states: 0.095 states/eV/atom
Raw formation energy: -28.46 kcal/mol of atoms
Crystal system: tetragonal
Space-group type: I4/mmm